No. 1
# LaGdTlSn, relaxed, DFT PBE-GGA
# Magnetization: 7.2 μB/f.u.
# Crystal system: cubic
# Total energy: -6.872 eV per atom
data_LaGdTlSn
_cell_length_a 7.7911
_cell_length_b 7.7911
_cell_length_c 7.7911
_cell_angle_alpha 90.00
_cell_angle_beta 90.00
_cell_angle_gamma 90.00
_symmetry_space_group_name_H-M 'F -4 3 m'
_symmetry_Int_Tables_number 216
_symmetry_space_group_name_Hall 'F -4 2 3'
loop_
_atom_site_label
_atom_site_fract_x
_atom_site_fract_y
_atom_site_fract_z
La1 0.0000 0.0000 0.0000
Gd1 0.0000 0.0000 0.5000
Tl1 0.2500 0.2500 0.2500
Sn1 0.2500 0.2500 0.7500

---

No. 2
# Na2GaSn, relaxed, DFT PBE-GGA
# Magnetization: 0.0 μB/f.u.
# Energy above the lowest structure with this stoichiometry: 0.044 eV per atom
# Crystal system: tetragonal
data_Na2GaSn
_cell_length_a 4.4107
_cell_length_b 4.4107
_cell_length_c 4.9694
_cell_angle_alpha 90.00
_cell_angle_beta 90.00
_cell_angle_gamma 90.00
_symmetry_space_group_name_H-M 'P 4/m m m'
_symmetry_Int_Tables_number 123
_symmetry_space_group_name_Hall '-P 4 2'
loop_
_atom_site_label
_atom_site_fract_x
_atom_site_fract_y
_atom_site_fract_z
Na1 0.0000 0.5000 0.0000
Ga1 0.0000 0.0000 0.5000
Sn1 0.5000 0.5000 0.5000

---

No. 3
# PmZn3H12Ir4, relaxed, DFT PBE-GGA
# Magnetization: 0.0 μB/f.u.
# Crystal system: trigonal
# Total energy: -4.147 eV per atom
data_PmZn3H12Ir4
_cell_length_a 8.5554
_cell_length_b 8.5554
_cell_length_c 9.3906
_cell_angle_alpha 90.00
_cell_angle_beta 90.00
_cell_angle_gamma 120.00
_symmetry_space_group_name_H-M 'R 3 2'
_symmetry_Int_Tables_number 155
_symmetry_space_group_name_Hall 'R 3 2"'
loop_
_atom_site_label
_atom_site_fract_x
_atom_site_fract_y
_atom_site_fract_z
Pm1 0.0000 0.0000 0.0000
Zn1 0.0000 0.5524 0.0000
H1 0.0000 0.5545 0.5000
H2 0.0000 0.8068 0.5000
H3 0.0604 0.1742 0.2007
Ir1 0.0000 0.0000 0.5000
Ir2 0.0000 0.3656 0.5000

---

No. 4
# Ac3Sc2O8, relaxed, DFT PBE-GGA
# Magnetization: 1.1 μB/f.u.
# E_form (uncorrected): -3.05 eV per atom
# Crystal system: trigonal
data_Ac3Sc2O8
_cell_length_a 6.1293
_cell_length_b 6.1293
_cell_length_c 20.0543
_cell_angle_alpha 90.00
_cell_angle_beta 90.00
_cell_angle_gamma 120.00
_symmetry_space_group_name_H-M 'R -3 m'
_symmetry_Int_Tables_number 166
_symmetry_space_group_name_Hall '-R 3 2"'
loop_
_atom_site_label
_atom_site_fract_x
_atom_site_fract_y
_atom_site_fract_z
Ac1 0.0000 0.0000 0.0000
Ac2 0.0000 0.0000 0.1965
Sc1 0.0000 0.0000 0.4080
O1 0.0000 0.0000 0.3117
O2 0.0249 0.5125 0.7691

---

Q: What is the magnetization in the first record?
A: 7.2 μB/f.u.

---

Q: Among the records above, which one has the highest magnetization?
A: LaGdTlSn

---

Copy entry 3 word for word.
# PmZn3H12Ir4, relaxed, DFT PBE-GGA
# Magnetization: 0.0 μB/f.u.
# Crystal system: trigonal
# Total energy: -4.147 eV per atom
data_PmZn3H12Ir4
_cell_length_a 8.5554
_cell_length_b 8.5554
_cell_length_c 9.3906
_cell_angle_alpha 90.00
_cell_angle_beta 90.00
_cell_angle_gamma 120.00
_symmetry_space_group_name_H-M 'R 3 2'
_symmetry_Int_Tables_number 155
_symmetry_space_group_name_Hall 'R 3 2"'
loop_
_atom_site_label
_atom_site_fract_x
_atom_site_fract_y
_atom_site_fract_z
Pm1 0.0000 0.0000 0.0000
Zn1 0.0000 0.5524 0.0000
H1 0.0000 0.5545 0.5000
H2 0.0000 0.8068 0.5000
H3 0.0604 0.1742 0.2007
Ir1 0.0000 0.0000 0.5000
Ir2 0.0000 0.3656 0.5000